Pm3Se3N | Alexandria via LeMat-Bulk | PBE | relaxed; uncorrected formation energy = -1.819 eV per atom; V = 25.36 A^3/atom; spin magnetization = 0.000 Bohr magnetons per cell; VASP energy = -0.4805 Ry per atom
1.0
4.0931 0.0000 0.0000
0.0000 12.8609 0.0000
0.0000 0.0000 13.4901
Pm Se N
12 12 4
direct
0.7500 0.7930 0.1394
0.7500 0.9580 0.8487
0.2500 0.0420 0.1513
0.2500 0.0666 0.6325
0.2500 0.2070 0.8606
0.2500 0.5666 0.8675
0.7500 0.2930 0.3606
0.7500 0.9334 0.3675
0.2500 0.5420 0.3487
0.7500 0.4580 0.6513
0.2500 0.7070 0.6394
0.7500 0.4334 0.1325
0.7500 0.7245 0.8110
0.2500 0.7755 0.3110
0.7500 0.6308 0.5047
0.2500 0.2755 0.1890
0.7500 0.9053 0.6070
0.2500 0.3692 0.4953
0.2500 0.5947 0.1070
0.7500 0.2245 0.6890
0.2500 0.0947 0.3930
0.7500 0.1308 0.9953
0.2500 0.8692 0.0047
0.7500 0.4053 0.8930
0.7500 0.9606 0.2028
0.2500 0.5394 0.7028
0.2500 0.0394 0.7972
0.7500 0.4606 0.2972